## KSbPb2 (PBE)

Data for an optimized crystal structure of KSbPb2.

```
4
Lattice="3.450 0.000 0.000 0.000 5.797 0.000 -0.243 0.000 6.479" Properties=species:S:1:pos:R:3 pbc="T T T"
K 0.000 0.000 0.000
Sb 1.604 0.000 3.240
Pb 1.077 2.898 4.749
Pb 2.131 2.898 1.730
```

## Properties
VASP energy   -3.252 eV per atom


## KSbPb2 (PBE)

Data for an optimized crystal structure of KSbPb2.

```
8
Lattice="6.853 0.000 0.000 0.000 10.667 0.000 0.000 0.000 3.488" Properties=species:S:1:pos:R:3 pbc="T T T"
K 0.000 0.000 0.000
K 3.426 5.334 0.000
Sb 0.000 5.334 0.000
Sb 3.426 0.000 0.000
Pb 1.713 2.667 1.744
Pb 1.713 8.001 1.744
Pb 5.139 2.667 1.744
Pb 5.139 8.001 1.744
```

## Properties
VASP energy   -3.189 eV per atom


## KSb2Pb2 (PBE)

Data for an optimized crystal structure of KSb2Pb2.

```
10
Lattice="5.215 0.000 0.000 0.000 5.215 0.000 0.000 0.000 13.861" Properties=species:S:1:pos:R:3 pbc="T T T"
K 0.000 0.000 0.000
K 2.607 2.607 6.931
Sb 0.000 0.000 5.359
Sb 0.000 0.000 8.502
Sb 2.607 2.607 1.572
Sb 2.607 2.607 12.290
Pb 0.000 2.607 3.465
Pb 0.000 2.607 10.396
Pb 2.607 0.000 3.465
Pb 2.607 0.000 10.396
```

## Properties
VASP energy   -3.511 eV per atom
ΔE to the lowest computed polymorph   0.000 eV/f.u.


## KSbPb2 (PBE)

Data for an optimized crystal structure of KSbPb2.

```
8
Lattice="5.984 0.000 0.000 0.000 6.751 0.000 0.000 0.000 7.307" Properties=species:S:1:pos:R:3 pbc="T T T"
K 1.496 1.688 0.699
K 4.488 5.063 6.609
Sb 1.496 5.063 2.001
Sb 4.488 1.688 5.306
Pb 1.496 0.035 4.551
Pb 1.496 3.341 4.551
Pb 4.488 3.410 2.757
Pb 4.488 6.716 2.757
```

## Properties
VASP energy   -3.291 eV per atom


## KSbPb2 (PBE)

Data for an optimized crystal structure of KSbPb2.

```
8
Lattice="4.848 0.000 0.000 0.000 4.848 0.000 0.000 0.000 12.056" Properties=species:S:1:pos:R:3 pbc="T T T"
K 1.212 1.212 2.835
K 3.636 3.636 9.221
Sb 1.212 1.212 8.384
Sb 3.636 3.636 3.673
Pb 1.212 1.212 11.446
Pb 1.212 3.636 6.028
Pb 3.636 1.212 6.028
Pb 3.636 3.636 0.611
```

## Properties
VASP energy   -3.249 eV per atom


## KSb2Pb2 (PBE)

Data for an optimized crystal structure of KSb2Pb2.

```
10
Lattice="9.057 0.000 0.000 0.000 9.057 0.000 0.000 0.000 4.106" Properties=species:S:1:pos:R:3 pbc="T T T"
K 0.000 0.000 0.000
K 4.528 4.528 0.000
Sb 1.199 3.329 0.000
Sb 3.329 7.858 0.000
Sb 5.727 1.199 0.000
Sb 7.858 5.727 0.000
Pb 1.346 5.875 2.053
Pb 3.182 1.346 2.053
Pb 5.875 7.710 2.053
Pb 7.710 3.182 2.053
```

## Properties
VASP energy   -3.450 eV per atom
ΔE to the lowest computed polymorph   0.304 eV/f.u.


no.,formation energy (no corrections) (eV/atom)
1,-0.09
2,-0.03
3,-0.16
4,-0.13
5,-0.09
6,-0.10